TbPrO4 | PBE | relaxed

Results
symmetry = P2_1/m (11)
energy relative to the elements, uncorrected = -2.651 eV per atom
theoretical density = 6.89 g/cm3

Unit cell a=5.5548 b=3.9718 c=7.9765 alpha=85.36 beta=90.00 gamma=90.00
Site moments in Bohr magnetons follow the coordinates.
Positions (direct):
Tb1 0.7500 0.7750 0.6272  -0.02
Tb2 0.2500 0.2250 0.3728  -0.02
Pr1 0.2500 0.2678 0.8761  0.00
Pr2 0.7500 0.7322 0.1239  0.00
O1 0.9923 0.7697 0.8638  0.32
O2 0.5077 0.7697 0.8638  0.32
O3 0.5063 0.2807 0.6081  0.54
O4 0.9937 0.2807 0.6081  0.54
O5 0.4937 0.7193 0.3919  0.54
O6 0.0063 0.7193 0.3919  0.54
O7 0.0077 0.2303 0.1362  0.32
O8 0.4923 0.2303 0.1362  0.32

Ca2La15Er2 | PBE | relaxed

Results
symmetry = R-3m (166)
E_form = 0.190 eV/atom
theoretical density = 5.75 g/cm3

Unit cell a=9.0748 b=9.0748 c=9.0748 alpha=80.86 beta=80.86 gamma=80.86
Positions (direct):
Ca1 0.6712 0.6712 0.6712
Ca2 0.3288 0.3288 0.3288
La1 0.5000 0.0000 0.0000
La2 0.0000 0.0000 0.5000
La3 0.0000 0.5000 0.0000
La4 0.0000 0.2919 0.7081
La5 0.2919 0.7081 0.0000
La6 0.7081 0.0000 0.2919
La7 0.7081 0.2919 0.0000
La8 0.2919 0.0000 0.7081
La9 0.0000 0.7081 0.2919
La10 0.8521 0.3628 0.3628
La11 0.3628 0.3628 0.8521
La12 0.3628 0.8521 0.3628
La13 0.1479 0.6372 0.6372
La14 0.6372 0.6372 0.1479
La15 0.6372 0.1479 0.6372
Er1 0.9051 0.9051 0.9051
Er2 0.0949 0.0949 0.0949

Sr2OsO5 | PBE | relaxed

Results
symmetry = I4mm (107)
distance to the lowest polymorph of the same formula = 1.09 eV per formula unit
energy relative to the elements, uncorrected = -1.893 eV per atom
theoretical density = 5.78 g/cm3

Unit cell a=6.0526 b=6.0525 c=5.5263 alpha=123.20 beta=123.20 gamma=90.00
Positions (direct):
Sr1 0.2451 0.7451 0.4902
Sr2 0.7451 0.2451 0.4902
Os1 0.9477 0.9477 0.8953
O1 0.8211 0.2477 0.0688
O2 0.2477 0.2477 0.0687
O3 0.8211 0.8211 0.0688
O4 0.2477 0.8210 0.0688
O5 0.7016 0.7016 0.4032

Er3AsSe2 | PBE | relaxed

Results
symmetry = Immm (71)
energy relative to the elements, uncorrected = -1.693 eV per atom
theoretical density = 8.63 g/cm3

Unit cell a=4.0451 b=5.7151 c=7.0462 alpha=113.93 beta=106.68 gamma=90.00
Positions (direct):
Er1 0.8410 0.3410 0.1819
Er2 0.1590 0.6590 0.8181
Er3 0.5000 0.0000 0.5000
As1 0.5000 0.5000 0.5000
Se1 0.8313 0.8313 0.1625
Se2 0.1687 0.1687 0.8375